Entry 1:
The following is a PBE-GGA calculation of As2Rh2Pb after structural relaxation, from Alexandria via LeMat-Bulk.

Energy relative to the elements ... -113.5 meV per atom
Energy above the lowest structure with this stoichiometry ... 198 meV/atom
DOS at the Fermi energy ... 4.1 states/eV/f.u.

a = 4.074 Å, b = 4.074 Å, c = 11.718 Å
α = 90.00°, β = 90.00°, γ = 90.00°
Space group I4/mmm (No. 139)
Symmetry-distinct sites (fractional):
As (0.000, 0.500, 0.250) x4
Rh (0.000, 0.000, 0.124) x4
Pb (0.000, 0.000, 0.500) x2


Entry 2:
The following is a PBE-GGA calculation of ScCd2IrO6 after structural relaxation, from Alexandria via LeMat-Bulk.

Formation energy from raw total energies ... -1.5044 eV/atom
DOS at the Fermi energy ... 5.1 states/eV/f.u.

a = 5.5635 Å, b = 5.5635 Å, c = 13.7454 Å
α = 90.00°, β = 90.00°, γ = 120.00°
Space group R3 (No. 146, hexagonal axes)
Symmetry-distinct sites (fractional):
Sc (0.0000, 0.0000, 0.0000) x3
Cd (0.0000, 0.0000, 0.2523) x3
Cd (0.0000, 0.0000, 0.7489) x3
Ir (0.0000, 0.0000, 0.4999) x3
O (0.0139, 0.4080, 0.2478) x9
O (0.0746, 0.7267, 0.0850) x9


no.,total energy (eV per atom)
1,-5.656
2,-6.182